A geometry-optimized LaTa2Rh structure. Source: Alexandria, functional GGA-PBE.

Calculated values
- DOS at the Fermi energy: 1.053 states/eV per atom
- Total magnetization: 0.000 μB/cell
- ΔH_f (0 K): 4.08 kcal/mol of atoms

Lattice parameters (Å, degrees): 3.3504 4.6571 5.1847 90.00 90.00 90.00
Positions (direct):
Rh 0.0000 0.5000 0.5000
Ta 0.5000 0.5000 0.0000
Ta 0.0000 0.0000 0.0000
La 0.5000 0.0000 0.5000